First-principles (PBE-GGA) data for crystalline Al6Co at its relaxed geometry, as listed in OQMD via LeMat-Bulk.

a = 4.917 Å, b = 4.917 Å, c = 8.817 Å
α = 90.00°, β = 90.00°, γ = 81.40°
Atoms (fractional coordinates):
Al (0.025, 0.612, 0.250)
Al (0.144, 0.856, 0.601)
Al (0.144, 0.856, 0.899)
Al (0.321, 0.321, 0.000)
Al (0.321, 0.321, 0.500)
Al (0.388, 0.975, 0.250)
Al (0.612, 0.025, 0.750)
Al (0.679, 0.679, 0.000)
Al (0.679, 0.679, 0.500)
Al (0.856, 0.144, 0.101)
Al (0.856, 0.144, 0.399)
Al (0.975, 0.388, 0.750)
Co (0.462, 0.538, 0.750)
Co (0.538, 0.462, 0.250)

Values from the calculation:
Total magnetic moment in μB per formula unit: 0.0
DFT total energy in eV/atom: -4.4189

First-principles (PBE-GGA) data for crystalline Al7Co5 at its relaxed geometry, as listed in OQMD via LeMat-Bulk.

a = 4.917 Å, b = 4.917 Å, c = 15.904 Å
α = 90.00°, β = 90.00°, γ = 120.00°
Atoms (fractional coordinates):
Al (0.164, 0.327, 0.250)
Al (0.164, 0.836, 0.250)
Al (0.327, 0.164, 0.750)
Al (0.333, 0.667, 0.115)
Al (0.333, 0.667, 0.385)
Al (0.333, 0.667, 0.633)
Al (0.333, 0.667, 0.867)
Al (0.667, 0.333, 0.133)
Al (0.667, 0.333, 0.367)
Al (0.667, 0.333, 0.615)
Al (0.667, 0.333, 0.885)
Al (0.673, 0.836, 0.250)
Al (0.836, 0.164, 0.750)
Al (0.836, 0.673, 0.750)
Co (0.000, 0.000, 0.118)
Co (0.000, 0.000, 0.382)
Co (0.000, 0.000, 0.618)
Co (0.000, 0.000, 0.882)
Co (0.000, 0.500, 0.000)
Co (0.000, 0.500, 0.500)
Co (0.500, 0.000, 0.000)
Co (0.500, 0.000, 0.500)
Co (0.500, 0.500, 0.000)
Co (0.500, 0.500, 0.500)

Values from the calculation:
Total magnetic moment in μB per formula unit: 4.7
Distance to the lowest polymorph of the same formula in meV per atom: 190.4
DFT total energy in eV/atom: -5.0670